Arrangement 1

LiTmBi2 after structural relaxation, computed with PBE.

CIF file:
```
data_LiTmBi2
_cell_length_a 4.180
_cell_length_b 5.035
_cell_length_c 5.035
_cell_angle_alpha 90.00
_cell_angle_beta 90.00
_cell_angle_gamma 90.00
_symmetry_space_group_name_H-M 'P 1'
_symmetry_Int_Tables_number 1
loop_
_symmetry_equiv_pos_as_xyz
'x,y,z'
loop_
_atom_site_label
_atom_site_type_symbol
_atom_site_fract_x
_atom_site_fract_y
_atom_site_fract_z
Bi1 Bi 0.000 0.000 0.500
Li1 Li 0.500 0.000 0.000
Tm1 Tm 0.500 0.500 0.500
Bi2 Bi 0.000 0.500 0.000
```

Output
Calculated volume, Å³/atom: 26.498
Crystal system: tetragonal

Arrangement 2

LiTmBi2 after structural relaxation, computed with PBE.

CIF file:
```
data_LiTmBi2
_cell_length_a 5.358
_cell_length_b 5.358
_cell_length_c 5.358
_cell_angle_alpha 60.00
_cell_angle_beta 60.00
_cell_angle_gamma 60.00
_symmetry_space_group_name_H-M 'P 1'
_symmetry_Int_Tables_number 1
loop_
_symmetry_equiv_pos_as_xyz
'x,y,z'
loop_
_atom_site_label
_atom_site_type_symbol
_atom_site_fract_x
_atom_site_fract_y
_atom_site_fract_z
Bi1 Bi 0.250 0.250 0.250
Tm1 Tm 0.000 0.000 0.000
Bi2 Bi 0.750 0.750 0.750
Li1 Li 0.500 0.500 0.500
```

Output
Calculated volume, Å³/atom: 27.185
Crystal system: cubic

It is arrangement 1 that is most stable; the runner-up trails by 0.070 eV/atom.

Arrangement 1

LiTmBi2 after structural relaxation, computed with PBE.

CIF file:
```
data_LiTmBi2
_cell_length_a 4.482
_cell_length_b 4.482
_cell_length_c 10.364
_cell_angle_alpha 90.00
_cell_angle_beta 90.00
_cell_angle_gamma 90.00
_symmetry_space_group_name_H-M 'P 1'
_symmetry_Int_Tables_number 1
loop_
_symmetry_equiv_pos_as_xyz
'x,y,z'
loop_
_atom_site_label
_atom_site_type_symbol
_atom_site_fract_x
_atom_site_fract_y
_atom_site_fract_z
Li1 Li 0.500 0.500 0.000
Tm1 Tm 0.500 0.000 0.739
Bi1 Bi 0.000 0.500 0.827
Tm2 Tm 0.000 0.500 0.261
Bi2 Bi 0.000 0.000 0.500
Li2 Li 0.000 0.000 0.000
Bi3 Bi 0.500 0.000 0.173
Bi4 Bi 0.500 0.500 0.500
```

Output
Calculated volume, Å³/atom: 26.026
Crystal system: tetragonal

Arrangement 2

LiTmBi2 after structural relaxation, computed with PBE.

CIF file:
```
data_LiTmBi2
_cell_length_a 4.673
_cell_length_b 4.673
_cell_length_c 6.886
_cell_angle_alpha 70.17
_cell_angle_beta 70.17
_cell_angle_gamma 60.00
_symmetry_space_group_name_H-M 'P 1'
_symmetry_Int_Tables_number 1
loop_
_symmetry_equiv_pos_as_xyz
'x,y,z'
loop_
_atom_site_label
_atom_site_type_symbol
_atom_site_fract_x
_atom_site_fract_y
_atom_site_fract_z
Li1 Li 0.491 0.491 0.526
Bi1 Bi 0.087 0.087 0.739
Tm1 Tm 0.671 0.671 0.987
Bi2 Bi 0.251 0.251 0.247
```

Output
Calculated volume, Å³/atom: 29.952
Crystal system: trigonal

Arrangement 3

LiTmBi2 after structural relaxation, computed with PBE.

CIF file:
```
data_LiTmBi2
_cell_length_a 3.913
_cell_length_b 3.913
_cell_length_c 8.851
_cell_angle_alpha 77.23
_cell_angle_beta 77.23
_cell_angle_gamma 60.00
_symmetry_space_group_name_H-M 'P 1'
_symmetry_Int_Tables_number 1
loop_
_symmetry_equiv_pos_as_xyz
'x,y,z'
loop_
_atom_site_label
_atom_site_type_symbol
_atom_site_fract_x
_atom_site_fract_y
_atom_site_fract_z
Bi1 Bi 0.254 0.254 0.238
Bi2 Bi 0.746 0.746 0.762
Tm1 Tm 0.500 0.500 0.500
Li1 Li 0.000 0.000 0.000
```

Output
Calculated volume, Å³/atom: 28.376
Crystal system: trigonal

It is arrangement 1 that is most stable; the runner-up trails by 0.105 eV/atom.

Arrangement 1

LiUBi2 after structural relaxation, computed with PBE.

CIF file:
```
data_LiUBi2
_cell_length_a 4.072
_cell_length_b 5.082
_cell_length_c 5.082
_cell_angle_alpha 90.00
_cell_angle_beta 90.00
_cell_angle_gamma 90.00
_symmetry_space_group_name_H-M 'P 1'
_symmetry_Int_Tables_number 1
loop_
_symmetry_equiv_pos_as_xyz
'x,y,z'
loop_
_atom_site_label
_atom_site_type_symbol
_atom_site_fract_x
_atom_site_fract_y
_atom_site_fract_z
Bi1 Bi 0.000 0.500 0.000
Li1 Li 0.500 0.000 0.000
U1 U 0.500 0.500 0.500
Bi2 Bi 0.000 0.000 0.500
```

Output
Calculated volume, Å³/atom: 26.296
Crystal system: tetragonal

Arrangement 2

LiUBi2 after structural relaxation, computed with PBE.

CIF file:
```
data_LiUBi2
_cell_length_a 5.359
_cell_length_b 5.359
_cell_length_c 5.359
_cell_angle_alpha 60.00
_cell_angle_beta 60.00
_cell_angle_gamma 60.00
_symmetry_space_group_name_H-M 'P 1'
_symmetry_Int_Tables_number 1
loop_
_symmetry_equiv_pos_as_xyz
'x,y,z'
loop_
_atom_site_label
_atom_site_type_symbol
_atom_site_fract_x
_atom_site_fract_y
_atom_site_fract_z
U1 U 0.000 0.000 0.000
Bi1 Bi 0.250 0.250 0.250
Li1 Li 0.500 0.500 0.500
Bi2 Bi 0.750 0.750 0.750
```

Output
Calculated volume, Å³/atom: 27.204
Crystal system: cubic

It is arrangement 1 that is most stable; the runner-up trails by 0.117 eV/atom.

Arrangement 1

LiUBi2 after structural relaxation, computed with PBE.

CIF file:
```
data_LiUBi2
_cell_length_a 3.409
_cell_length_b 3.409
_cell_length_c 9.162
_cell_angle_alpha 90.00
_cell_angle_beta 90.00
_cell_angle_gamma 90.00
_symmetry_space_group_name_H-M 'P 1'
_symmetry_Int_Tables_number 1
loop_
_symmetry_equiv_pos_as_xyz
'x,y,z'
loop_
_atom_site_label
_atom_site_type_symbol
_atom_site_fract_x
_atom_site_fract_y
_atom_site_fract_z
U1 U 0.500 0.500 0.500
Bi1 Bi 0.000 0.000 0.765
Bi2 Bi 0.000 0.000 0.235
Li1 Li 0.500 0.500 0.000
```

Output
Calculated volume, Å³/atom: 26.623
Crystal system: tetragonal

Arrangement 2

LiUBi2 after structural relaxation, computed with PBE.

CIF file:
```
data_LiUBi2
_cell_length_a 3.414
_cell_length_b 3.414
_cell_length_c 10.378
_cell_angle_alpha 80.53
_cell_angle_beta 80.53
_cell_angle_gamma 60.00
_symmetry_space_group_name_H-M 'P 1'
_symmetry_Int_Tables_number 1
loop_
_symmetry_equiv_pos_as_xyz
'x,y,z'
loop_
_atom_site_label
_atom_site_type_symbol
_atom_site_fract_x
_atom_site_fract_y
_atom_site_fract_z
U1 U 0.500 0.500 0.499
Li1 Li 0.666 0.666 0.002
Bi1 Bi 0.077 0.077 0.770
Bi2 Bi 0.257 0.257 0.229
```

Output
Calculated volume, Å³/atom: 25.707
Crystal system: trigonal

It is arrangement 1 that is most stable; the runner-up trails by 0.058 eV/atom.

Arrangement 1

LiVBi3 after structural relaxation, computed with PBE.

CIF file:
```
data_LiVBi3
_cell_length_a 5.137
_cell_length_b 5.137
_cell_length_c 5.137
_cell_angle_alpha 90.00
_cell_angle_beta 90.00
_cell_angle_gamma 90.00
_symmetry_space_group_name_H-M 'P 1'
_symmetry_Int_Tables_number 1
loop_
_symmetry_equiv_pos_as_xyz
'x,y,z'
loop_
_atom_site_label
_atom_site_type_symbol
_atom_site_fract_x
_atom_site_fract_y
_atom_site_fract_z
V1 V 0.500 0.500 0.500
Bi1 Bi 0.000 0.000 0.500
Li1 Li 0.000 0.000 0.000
Bi2 Bi 0.000 0.500 0.000
Bi3 Bi 0.500 0.000 0.000
```

Output
Calculated volume, Å³/atom: 27.109
Crystal system: cubic

Arrangement 2

LiVBi3 after structural relaxation, computed with PBE.

CIF file:
```
data_LiVBi3
_cell_length_a 5.343
_cell_length_b 5.343
_cell_length_c 5.343
_cell_angle_alpha 90.00
_cell_angle_beta 90.00
_cell_angle_gamma 90.00
_symmetry_space_group_name_H-M 'P 1'
_symmetry_Int_Tables_number 1
loop_
_symmetry_equiv_pos_as_xyz
'x,y,z'
loop_
_atom_site_label
_atom_site_type_symbol
_atom_site_fract_x
_atom_site_fract_y
_atom_site_fract_z
Bi1 Bi 0.500 0.000 0.000
Bi2 Bi 0.000 0.500 0.000
V1 V 0.000 0.000 0.000
Li1 Li 0.500 0.500 0.500
Bi3 Bi 0.000 0.000 0.500
```

Output
Calculated volume, Å³/atom: 30.511
Crystal system: cubic

It is arrangement 2 that is most stable; the runner-up trails by 0.316 eV/atom.

Arrangement 1

LiVBi2 after structural relaxation, computed with PBE.

CIF file:
```
data_LiVBi2
_cell_length_a 5.051
_cell_length_b 5.051
_cell_length_c 5.051
_cell_angle_alpha 60.00
_cell_angle_beta 60.00
_cell_angle_gamma 60.00
_symmetry_space_group_name_H-M 'P 1'
_symmetry_Int_Tables_number 1
loop_
_symmetry_equiv_pos_as_xyz
'x,y,z'
loop_
_atom_site_label
_atom_site_type_symbol
_atom_site_fract_x
_atom_site_fract_y
_atom_site_fract_z
Bi1 Bi 0.750 0.750 0.750
Bi2 Bi 0.250 0.250 0.250
V1 V 0.500 0.500 0.500
Li1 Li 0.000 0.000 0.000
```

Output
Calculated volume, Å³/atom: 22.776
Crystal system: cubic

Arrangement 2

LiVBi2 after structural relaxation, computed with PBE.

CIF file:
```
data_LiVBi2
_cell_length_a 3.402
_cell_length_b 3.402
_cell_length_c 10.454
_cell_angle_alpha 80.64
_cell_angle_beta 80.64
_cell_angle_gamma 60.00
_symmetry_space_group_name_H-M 'P 1'
_symmetry_Int_Tables_number 1
loop_
_symmetry_equiv_pos_as_xyz
'x,y,z'
loop_
_atom_site_label
_atom_site_type_symbol
_atom_site_fract_x
_atom_site_fract_y
_atom_site_fract_z
Bi1 Bi 0.091 0.091 0.727
V1 V 0.000 0.000 0.000
Li1 Li 0.500 0.500 0.500
Bi2 Bi 0.909 0.909 0.273
```

Output
Calculated volume, Å³/atom: 25.722
Crystal system: trigonal

It is arrangement 1 that is most stable; the runner-up trails by 0.309 eV/atom.